Pr6SnIr2Br3 | GGA-PBE | relaxed

Lattice parameters (Å, degrees): 19.867 4.288 9.262 90.00 107.25 90.00
Space group C2/m (No. 12)
Unique sites:
Pr 0.023 0.000 0.254 (multiplicity 4)
Pr 0.166 0.500 0.134 (multiplicity 4)
Pr 0.180 0.500 0.559 (multiplicity 4)
Sn 0.000 0.500 0.000 (multiplicity 2)
Ir 0.170 0.000 0.343 (multiplicity 4)
Br 0.000 0.500 0.500 (multiplicity 2)
Br 0.163 0.000 0.843 (multiplicity 4)

## Properties
Total magnetic moment = 0.00 μB/f.u.
Uncorrected formation energy = -1.0479 eV/atom
DOS(E_F) = 0.44 states/eV per atom